Record 1
{"formula": "LaSmH4", "functional": "PBE-GGA", "state": "optimized geometry", "lattice": [[3.8591, 0.0000, 0.0000], [0.0000, 3.8591, 0.0000], [0.0000, 0.0000, 5.5194]], "species": ["H", "H", "H", "H", "La", "Sm"], "fractional_positions": [[0.5000, 0.0000, 0.2641], [0.0000, 0.5000, 0.2641], [0.5000, 0.0000, 0.7359], [0.0000, 0.5000, 0.7359], [0.0000, 0.0000, 0.0000], [0.5000, 0.5000, 0.5000]], "m_tot_mub_per_cell": 0.0, "final_energy_ev_per_atom": -4.50}

Record 2
{"formula": "SrHgTeO", "functional": "PBE-GGA", "state": "optimized geometry", "lattice": [[-0.7885, -4.1013, -1.0050], [4.1145, -0.5163, -1.1211], [2.7525, -3.3868, 11.6609]], "species": ["Hg", "Hg", "O", "O", "Sr", "Sr", "Te", "Te"], "fractional_positions": [[0.7500, 0.7500, 0.1229], [0.2500, 0.2500, 0.8771], [0.7500, 0.2500, 0.5000], [0.2500, 0.7500, 0.5000], [0.2500, 0.2500, 0.4172], [0.7500, 0.7500, 0.5828], [0.2500, 0.2500, 0.1384], [0.7500, 0.7500, 0.8616]], "de_polymorph_ev_per_fu": 0.30}

Record 3
{"formula": "RbNbSeO", "functional": "PBE-GGA", "state": "optimized geometry", "lattice": [[3.8950, 0.0000, 0.0000], [0.0000, 3.8950, 0.0000], [0.0000, 0.0000, 9.8645]], "species": ["Nb", "Nb", "O", "O", "Rb", "Rb", "Se", "Se"], "fractional_positions": [[0.2500, 0.2500, 0.1066], [0.7500, 0.7500, 0.8934], [0.7500, 0.2500, 0.0000], [0.2500, 0.7500, 0.0000], [0.7500, 0.2500, 0.5000], [0.2500, 0.7500, 0.5000], [0.7500, 0.7500, 0.2379], [0.2500, 0.2500, 0.7621]], "m_tot_mub_per_cell": 0.9, "de_polymorph_ev_per_fu": 2.58}

Record 4
{"formula": "Cs2W", "functional": "PBE-GGA", "state": "optimized geometry", "lattice": [[4.8641, 2.8083, 7.9430], [-4.8641, 2.8083, 7.9430], [0.0000, -5.6166, 7.9430]], "species": ["Cs", "Cs", "Cs", "Cs", "W", "W"], "fractional_positions": [[0.3750, 0.3750, 0.3750], [0.8750, 0.3750, 0.3750], [0.3750, 0.8750, 0.3750], [0.3750, 0.3750, 0.8750], [0.2500, 0.2500, 0.2500], [0.5000, 0.5000, 0.5000]], "m_tot_mub_per_cell": 8.0, "final_energy_ev_per_atom": -2.30}

Record 5
{"formula": "Y4Nb2Co3C3", "functional": "PBE-GGA", "state": "optimized geometry", "lattice": [[-3.6221, -3.1326, -3.4303], [-0.5023, -5.8134, 0.8080], [-8.7263, 5.0235, 9.6007]], "species": ["C", "C", "C", "C", "C", "C", "Co", "Co", "Co", "Co", "Co", "Co", "Nb", "Nb", "Nb", "Nb", "Y", "Y", "Y", "Y", "Y", "Y", "Y", "Y"], "fractional_positions": [[0.5000, 0.0000, 0.0000], [0.8009, 0.3500, 0.0008], [0.6500, 0.1991, 0.4992], [0.0000, 0.5000, 0.5000], [0.3500, 0.8009, 0.5008], [0.1991, 0.6500, 0.9992], [0.5863, 0.1807, 0.2480], [0.3594, 0.6406, 0.2500], [0.8193, 0.4137, 0.2520], [0.1807, 0.5863, 0.7480], [0.6406, 0.3594, 0.7500], [0.4137, 0.8193, 0.7520], [0.5255, 0.3455, 0.0787], [0.6545, 0.4745, 0.4213], [0.3455, 0.5255, 0.5787], [0.4745, 0.6545, 0.9213], [0.1937, 0.0442, 0.1112], [0.8813, 0.7018, 0.1113], [0.2982, 0.1187, 0.3887], [0.9558, 0.8062, 0.3888], [0.0442, 0.1937, 0.6112], [0.7018, 0.8813, 0.6113], [0.1187, 0.2982, 0.8887], [0.8062, 0.9558, 0.8888]], "m_tot_mub_per_cell": 6.5, "final_energy_ev_per_atom": -8.07}

Record 6
{"formula": "YCoSiPd", "functional": "PBE-GGA", "state": "optimized geometry", "lattice": [[0.0000, 3.1818, 3.1818], [3.1818, 0.0000, 3.1818], [3.1818, 3.1818, 0.0000]], "species": ["Co", "Pd", "Si", "Y"], "fractional_positions": [[0.7500, 0.7500, 0.7500], [0.2500, 0.2500, 0.2500], [0.0000, 0.0000, 0.0000], [0.5000, 0.5000, 0.5000]], "m_tot_mub_per_cell": 1.0, "de_polymorph_ev_per_fu": 0.00}

Record 7
{"formula": "KAg2AsS2O2", "functional": "PBE-GGA", "state": "optimized geometry", "lattice": [[0.0000, 4.7820, 3.7164], [4.4426, 0.0000, 3.7164], [4.4426, 4.7820, 0.0000]], "species": ["Ag", "Ag", "As", "K", "O", "O", "S", "S"], "fractional_positions": [[0.2410, 0.2410, 0.2590], [0.7410, 0.7410, 0.7590], [0.0232, 0.0232, 0.9768], [0.4936, 0.4936, 0.5064], [0.9879, 0.3112, 0.0121], [0.3112, 0.9879, 0.6888], [0.0408, 0.6612, 0.3388], [0.6612, 0.0408, 0.9592]], "de_polymorph_ev_per_fu": 0.00}

Record 8
{"formula": "Ta2Ni", "functional": "PBE-GGA", "state": "optimized geometry", "lattice": [[-5.3488, 5.2277, -6.0621], [1.0358, -6.7776, -6.7586], [-4.1700, -2.3153, 1.6827]], "species": ["Ni", "Ni", "Ni", "Ni", "Ni", "Ni", "Ni", "Ni", "Ni", "Ni", "Ta", "Ta", "Ta", "Ta", "Ta", "Ta", "Ta", "Ta", "Ta", "Ta", "Ta", "Ta", "Ta", "Ta", "Ta", "Ta", "Ta", "Ta", "Ta", "Ta"], "fractional_positions": [[0.0000, 0.0000, 0.0000], [0.7442, 0.0676, 0.0000], [0.9324, 0.2558, 0.0000], [0.0676, 0.7442, 0.0000], [0.2558, 0.9324, 0.0000], [0.4324, 0.2442, 0.5000], [0.2442, 0.4324, 0.5000], [0.5000, 0.5000, 0.5000], [0.7558, 0.5676, 0.5000], [0.5676, 0.7558, 0.5000], [0.4635, 0.1281, 0.0000], [0.3963, 0.3963, 0.0000], [0.1281, 0.4635, 0.0000], [0.8719, 0.5365, 0.0000], [0.6037, 0.6037, 0.0000], [0.5365, 0.8719, 0.0000], [0.6806, 0.3194, 0.2497], [0.3194, 0.6806, 0.2497], [0.1806, 0.1806, 0.2503], [0.8194, 0.8194, 0.2503], [0.6281, 0.0365, 0.5000], [0.8963, 0.1037, 0.5000], [0.9635, 0.3719, 0.5000], [0.0365, 0.6281, 0.5000], [0.1037, 0.8963, 0.5000], [0.3719, 0.9635, 0.5000], [0.1806, 0.1806, 0.7497], [0.8194, 0.8194, 0.7497], [0.6806, 0.3194, 0.7503], [0.3194, 0.6806, 0.7503]], "m_tot_mub_per_cell": 0.0, "final_energy_ev_per_atom": -9.89}

Record 9
{"formula": "HfTaNO", "functional": "PBE-GGA", "state": "optimized geometry", "lattice": [[6.0486, 0.0000, 0.0000], [0.0000, 7.3828, 0.0000], [0.0000, 0.0000, 4.7560]], "species": ["Hf", "Hf", "Hf", "Hf", "N", "N", "N", "N", "O", "O", "O", "O", "Ta", "Ta", "Ta", "Ta"], "fractional_positions": [[0.0657, 0.1315, 0.0111], [0.5657, 0.8685, 0.0111], [0.4343, 0.1315, 0.5111], [0.9343, 0.8685, 0.5111], [0.4169, 0.1323, 0.0279], [0.9169, 0.8677, 0.0279], [0.0831, 0.1323, 0.5279], [0.5831, 0.8677, 0.5279], [0.0219, 0.4097, 0.1358], [0.5219, 0.5903, 0.1358], [0.4781, 0.4097, 0.6358], [0.9781, 0.5903, 0.6358], [0.6402, 0.3364, 0.0275], [0.1402, 0.6636, 0.0275], [0.8598, 0.3364, 0.5275], [0.3598, 0.6636, 0.5275]], "m_tot_mub_per_cell": 0.0, "de_polymorph_ev_per_fu": 0.38}

Record 10
{"formula": "PrBiPO", "functional": "PBE-GGA", "state": "optimized geometry", "lattice": [[4.4907, 0.0000, 0.0000], [0.0000, 6.2011, 0.0000], [0.0000, 0.0000, 6.3852]], "species": ["Bi", "Bi", "O", "O", "P", "P", "Pr", "Pr"], "fractional_positions": [[0.0000, 0.8717, 0.4854], [0.0000, 0.1283, 0.9854], [0.5000, 0.9434, 0.3909], [0.5000, 0.0566, 0.8909], [0.0000, 0.4299, 0.2964], [0.0000, 0.5701, 0.7964], [0.5000, 0.7202, 0.0813], [0.5000, 0.2798, 0.5813]], "m_tot_mub_per_cell": 0.0, "de_polymorph_ev_per_fu": 0.28}

Record 11
{"formula": "SmHgBi", "functional": "PBE-GGA", "state": "optimized geometry", "lattice": [[1.1253, -4.4775, 2.4743], [-2.8216, -1.4744, 4.1594], [-3.2610, -4.0831, -0.3614]], "species": ["Bi", "Hg", "Sm"], "fractional_positions": [[0.2500, 0.2500, 0.2500], [0.7500, 0.7500, 0.7500], [0.0000, 0.0000, 0.0000]], "m_tot_mub_per_cell": 0.0, "de_polymorph_ev_per_fu": 0.00}

Record 12
{"formula": "Gd2TmGa3Cu2Ni", "functional": "PBE-GGA", "state": "optimized geometry", "lattice": [[4.0002, 0.0000, 0.0000], [0.0000, 6.0284, 3.4659], [0.0000, -6.0284, 3.4659]], "species": ["Cu", "Cu", "Ga", "Ga", "Ga", "Gd", "Gd", "Ni", "Tm"], "fractional_positions": [[0.5000, 0.6614, 0.3352], [0.5000, 0.3352, 0.6614], [0.5000, 0.2365, 0.0020], [0.5000, 0.0020, 0.2365], [0.5000, 0.7640, 0.7640], [0.0000, 0.9991, 0.5886], [0.0000, 0.5886, 0.9991], [0.0000, 0.0043, 0.0043], [0.0000, 0.4089, 0.4089]], "m_tot_mub_per_cell": 0.0, "final_energy_ev_per_atom": -4.52}

Record 13
{"formula": "DyCoB", "functional": "PBE-GGA", "state": "optimized geometry", "lattice": [[-0.6556, -4.1435, 0.6146], [-3.0281, -1.2939, 2.6706], [-3.5118, -1.8370, -1.5063]], "species": ["B", "Co", "Dy"], "fractional_positions": [[0.0000, 0.0000, 0.0000], [0.5000, 0.5000, 0.5000], [0.2500, 0.2500, 0.2500]], "m_tot_mub_per_cell": 0.6, "de_polymorph_ev_per_fu": 2.88}

Record 14
{"formula": "CsCdSbS3", "functional": "PBE-GGA", "state": "optimized geometry", "lattice": [[6.8612, 1.8541, 3.8720], [-7.9786, -1.3523, 0.1408], [1.8138, -10.5120, 1.8196]], "species": ["Cd", "Cd", "Cs", "Cs", "S", "S", "S", "S", "S", "S", "Sb", "Sb"], "fractional_positions": [[0.4585, 0.5415, 0.2500], [0.5415, 0.4585, 0.7500], [0.7399, 0.2601, 0.2500], [0.2601, 0.7399, 0.7500], [0.3835, 0.6165, 0.0446], [0.0558, 0.9442, 0.2500], [0.3835, 0.6165, 0.4554], [0.6165, 0.3835, 0.5446], [0.9442, 0.0558, 0.7500], [0.6165, 0.3835, 0.9554], [0.0000, 0.0000, 0.0000], [0.0000, 0.0000, 0.5000]], "final_energy_ev_per_atom": -3.68}

Record 15
{"formula": "GdDyTl", "functional": "PBE-GGA", "state": "optimized geometry", "lattice": [[0.0000, 3.6629, 3.6629], [3.6629, 0.0000, 3.6629], [3.6629, 3.6629, 0.0000]], "species": ["Dy", "Gd", "Tl"], "fractional_positions": [[0.2500, 0.2500, 0.2500], [0.7500, 0.7500, 0.7500], [0.0000, 0.0000, 0.0000]], "m_tot_mub_per_cell": 0.1, "de_polymorph_ev_per_fu": 0.00}

Record 16
{"formula": "USiTc", "functional": "PBE-GGA", "state": "optimized geometry", "lattice": [[0.0000, 3.0774, 3.0774], [3.0774, 0.0000, 3.0774], [3.0774, 3.0774, 0.0000]], "species": ["Si", "Tc", "U"], "fractional_positions": [[0.0000, 0.0000, 0.0000], [0.2500, 0.2500, 0.2500], [0.7500, 0.7500, 0.7500]], "m_tot_mub_per_cell": 2.6, "de_polymorph_ev_per_fu": 0.00}

Record 17
{"formula": "Dy2Ge6Pd", "functional": "PBE-GGA", "state": "optimized geometry", "lattice": [[-5.5097, 7.5412, 6.4335], [4.3538, -4.9729, -9.2159], [-3.4948, -2.1214, -0.5063]], "species": ["Dy", "Dy", "Ge", "Ge", "Ge", "Ge", "Ge", "Ge", "Pd"], "fractional_positions": [[0.6771, 0.3229, 0.5000], [0.3229, 0.6771, 0.5000], [0.7877, 0.2123, 0.0000], [0.5752, 0.4248, 0.0000], [0.4248, 0.5752, 0.0000], [0.2123, 0.7877, 0.0000], [0.9283, 0.0717, 0.5000], [0.0717, 0.9283, 0.5000], [0.0000, 0.0000, 0.0000]], "m_tot_mub_per_cell": 0.0, "de_polymorph_ev_per_fu": 0.74}

Record 18
{"formula": "Li4HgGe2Au", "functional": "PBE-GGA", "state": "optimized geometry", "lattice": [[-1.9543, -0.5502, -3.9988], [-3.9372, -0.7193, 2.0232], [-1.2571, 6.2063, -0.2396]], "species": ["Au", "Ge", "Ge", "Hg", "Li", "Li", "Li", "Li"], "fractional_positions": [[0.0000, 0.0000, 0.0000], [0.5000, 0.0000, 0.2362], [0.0000, 0.5000, 0.7638], [0.5000, 0.5000, 0.5000], [0.5000, 0.5000, 0.0000], [0.0000, 0.5000, 0.2358], [0.0000, 0.0000, 0.5000], [0.5000, 0.0000, 0.7642]], "final_energy_ev_per_atom": -2.95}

Record 19
{"formula": "YZn2Ge", "functional": "PBE-GGA", "state": "optimized geometry", "lattice": [[-0.6827, 1.7840, 4.3936], [-3.5692, -1.6594, 2.7312], [0.9763, -2.6775, 3.8510]], "species": ["Ge", "Y", "Zn", "Zn"], "fractional_positions": [[0.5000, 0.5000, 0.5000], [0.2500, 0.2500, 0.2500], [0.0000, 0.0000, 0.0000], [0.7500, 0.7500, 0.7500]], "m_tot_mub_per_cell": 0.0, "final_energy_ev_per_atom": -3.61}

Record 20
{"formula": "PrZnIn", "functional": "PBE-GGA", "state": "optimized geometry", "lattice": [[4.7670, 0.0000, 0.0000], [-2.3835, 4.1283, 0.0000], [0.0000, 0.0000, 7.6859]], "species": ["In", "In", "Pr", "Pr", "Zn", "Zn"], "fractional_positions": [[0.0000, 0.0000, 0.2931], [0.3333, 0.6667, 0.7965], [0.6667, 0.3333, 0.0204], [0.6667, 0.3333, 0.5204], [0.3333, 0.6667, 0.2180], [0.0000, 0.0000, 0.7217]], "m_tot_mub_per_cell": 0.0, "final_energy_ev_per_atom": -3.40}